Record 1
Density functional theory data (PBE) for a relaxed LiTb2Ga12 crystal.

Values from the calculation:
As for the formation energy from the elements: -0.31 eV/atom. For the total energy, the calculation gives -104.4 eV per cell. The magnetic moment comes out at 0.0 μB/f.u. The space group is No. 125.

Unit cell a=6.159 b=6.159 c=15.049 alpha=90.00 beta=90.00 gamma=90.00
Fractional positions:
Li  0.250  0.750  0.000
Li  0.750  0.250  0.000
Tb  0.250  0.750  0.244
Tb  0.250  0.750  0.756
Tb  0.750  0.250  0.244
Tb  0.750  0.250  0.756
Ga  0.001  0.501  0.087
Ga  0.001  0.999  0.913
Ga  0.083  0.583  0.571
Ga  0.083  0.917  0.429
Ga  0.250  0.250  0.182
Ga  0.250  0.250  0.344
Ga  0.250  0.250  0.656
Ga  0.250  0.250  0.818
Ga  0.417  0.583  0.429
Ga  0.417  0.917  0.571
Ga  0.499  0.501  0.913
Ga  0.499  0.999  0.087
Ga  0.501  0.001  0.913
Ga  0.501  0.499  0.087
Ga  0.583  0.083  0.429
Ga  0.583  0.417  0.571
Ga  0.750  0.750  0.182
Ga  0.750  0.750  0.344
Ga  0.750  0.750  0.656
Ga  0.750  0.750  0.818
Ga  0.917  0.083  0.571
Ga  0.917  0.417  0.429
Ga  0.999  0.001  0.087
Ga  0.999  0.499  0.913

=====

Record 2
Density functional theory data (PBE) for a relaxed NaTl5I7 crystal.

Values from the calculation:
For the total energy, the calculation gives -65.0 eV per cell. The magnetic moment comes out at 0.0 μB/f.u. The value obtained for the formation energy (no corrections) is -15.07 kcal/mol of atoms. The space group is No. 8.

Unit cell a=8.461 b=8.461 c=29.282 alpha=90.03 beta=90.03 gamma=32.39
Fractional positions:
Na  0.000  0.000  0.000
Na  0.599  0.599  0.500
Tl  0.075  0.075  0.328
Tl  0.076  0.076  0.672
Tl  0.252  0.252  0.095
Tl  0.252  0.252  0.905
Tl  0.347  0.347  0.405
Tl  0.348  0.348  0.596
Tl  0.524  0.524  0.172
Tl  0.524  0.524  0.828
Tl  0.800  0.800  0.250
Tl  0.800  0.800  0.750
I  0.160  0.160  0.213
I  0.160  0.160  0.787
I  0.235  0.235  0.500
I  0.364  0.364  0.000
I  0.439  0.439  0.287
I  0.439  0.439  0.713
I  0.602  0.602  0.933
I  0.603  0.603  0.067
I  0.715  0.715  0.359
I  0.715  0.715  0.641
I  0.884  0.884  0.141
I  0.884  0.884  0.860
I  0.997  0.997  0.433
I  0.997  0.997  0.567

=====

Record 3
Density functional theory data (PBE) for a relaxed ZrInAg crystal.

Values from the calculation:
As for the formation energy from the elements: -0.14 eV/atom. For the total energy, the calculation gives -29.1 eV per cell. The magnetic moment comes out at 0.0 μB/f.u. The space group is No. 10.

Unit cell a=4.170 b=4.481 c=7.059 alpha=90.00 beta=107.13 gamma=90.00
Fractional positions:
Zr  0.165  0.000  0.330
Zr  0.835  0.000  0.670
In  0.339  0.500  0.679
In  0.661  0.500  0.321
Ag  0.000  0.500  0.000
Ag  0.500  0.000  0.000